## La3Tb5Nd4 (PBE-GGA)

Data for a relaxed La3Tb5Nd4 crystal.

```
12
Lattice="7.0264 -0.3806 1.9020 -5.2676 7.6140 -6.8759 4.1085 -3.9164 11.8641" Properties=species:S:1:pos:R:3 pbc="T T T"
La 4.5856 -0.2787 3.9196
La 2.0542 -1.9582 5.9321
La 1.2817 3.5958 2.9705
Tb 2.2463 1.6754 5.9557
Tb 5.5674 -2.1485 6.8831
Tb 2.6333 3.5304 -2.0043
Tb 3.2339 -0.2134 8.8944
Tb 3.6210 1.6417 0.9344
Nd 4.7816 3.4040 3.9298
Nd 5.7675 1.4681 6.8902
Nd 0.0997 1.8489 0.0000
Nd 1.0857 -0.0869 2.9604
```

Values from the calculation:
**Energy of formation from the pure elements**: 0.019 eV/atom
**Calculated total energy**: -4.7318 eV/atom
**DOS at the Fermi energy**: 18.11 states/eV per cell
**Energy above the most stable polymorph in this dataset**: 0.0 kJ/mol of atoms